(1)
# Sr6MgAg PBE optimized geometry
data_Sr6MgAg
_chemical_formula_sum 'Sr12 Mg2 Ag2'
_cell_length_a 5.829
_cell_length_b 5.829
_cell_length_c 20.673
_cell_angle_alpha 90.00
_cell_angle_beta 90.00
_cell_angle_gamma 90.00
_symmetry_space_group_name_H-M 'P 1'
_symmetry_Int_Tables_number 1
loop_
_symmetry_equiv_pos_as_xyz
'x,y,z'
loop_
_atom_site_label
_atom_site_type_symbol
_atom_site_fract_x
_atom_site_fract_y
_atom_site_fract_z
Sr1 Sr 0.000 0.000 0.248
Sr2 Sr 0.000 0.000 0.752
Sr3 Sr 0.000 0.500 0.096
Sr4 Sr 0.000 0.500 0.404
Sr5 Sr 0.000 0.500 0.596
Sr6 Sr 0.000 0.500 0.904
Sr7 Sr 0.500 0.000 0.096
Sr8 Sr 0.500 0.000 0.404
Sr9 Sr 0.500 0.000 0.596
Sr10 Sr 0.500 0.000 0.904
Sr11 Sr 0.500 0.500 0.252
Sr12 Sr 0.500 0.500 0.748
Mg1 Mg 0.000 0.000 0.000
Mg2 Mg 0.500 0.500 0.500
Ag1 Ag 0.000 0.000 0.500
Ag2 Ag 0.500 0.500 0.000
# crystal system	tetragonal
# calculated formation energy	-48	kJ/mol of formula units

(2)
# Co2TcAs PBE optimized geometry
data_Co2TcAs
_chemical_formula_sum 'Co4 Tc2 As2'
_cell_length_a 3.765
_cell_length_b 3.765
_cell_length_c 6.978
_cell_angle_alpha 90.00
_cell_angle_beta 90.00
_cell_angle_gamma 90.00
_symmetry_space_group_name_H-M 'P 1'
_symmetry_Int_Tables_number 1
loop_
_symmetry_equiv_pos_as_xyz
'x,y,z'
loop_
_atom_site_label
_atom_site_type_symbol
_atom_site_fract_x
_atom_site_fract_y
_atom_site_fract_z
Co1 Co 0.000 0.000 0.000
Co2 Co 0.000 0.500 0.250
Co3 Co 0.500 0.000 0.750
Co4 Co 0.500 0.500 0.500
Tc1 Tc 0.000 0.500 0.750
Tc2 Tc 0.500 0.000 0.250
As1 As 0.000 0.000 0.500
As2 As 0.500 0.500 0.000
# crystal system	tetragonal
# calculated formation energy	30	kJ/mol of formula units

Which formula does entry 1 have? Sr6MgAg

Please write out number 2 again, unchanged.
# Co2TcAs PBE optimized geometry
data_Co2TcAs
_chemical_formula_sum 'Co4 Tc2 As2'
_cell_length_a 3.765
_cell_length_b 3.765
_cell_length_c 6.978
_cell_angle_alpha 90.00
_cell_angle_beta 90.00
_cell_angle_gamma 90.00
_symmetry_space_group_name_H-M 'P 1'
_symmetry_Int_Tables_number 1
loop_
_symmetry_equiv_pos_as_xyz
'x,y,z'
loop_
_atom_site_label
_atom_site_type_symbol
_atom_site_fract_x
_atom_site_fract_y
_atom_site_fract_z
Co1 Co 0.000 0.000 0.000
Co2 Co 0.000 0.500 0.250
Co3 Co 0.500 0.000 0.750
Co4 Co 0.500 0.500 0.500
Tc1 Tc 0.000 0.500 0.750
Tc2 Tc 0.500 0.000 0.250
As1 As 0.000 0.000 0.500
As2 As 0.500 0.500 0.000
# crystal system	tetragonal
# calculated formation energy	30	kJ/mol of formula units